# 1
Computed, not measured: crystalline K3Sn4Pb2 at its relaxed geometry at the GGA-PBE level of DFT.

V in A^3/atom: 35.713
Space group: P-1, No. 2
E_form in eV/atom: -0.149
Final energy in eV/atom: -3.118

abc: 5.0466 6.9116 9.9631
angles: 96.10 90.09 111.40
Sites, in units of the cell vectors:
1 K 0.0000 0.0000 0.0000
2 K 0.3970 0.7934 0.2901
3 K 0.6030 0.2066 0.7099
4 Sn 0.0802 0.1594 0.3980
5 Sn 0.2965 0.5938 0.9477
6 Sn 0.7035 0.4062 0.0523
7 Sn 0.9198 0.8406 0.6020
8 Pb 0.2873 0.5754 0.6327
9 Pb 0.7127 0.4246 0.3673

***

# 2
Computed, not measured: crystalline Na5Sr6Zn5 at its relaxed geometry at the GGA-PBE level of DFT.

V in A^3/atom: 34.660
Space group: Amm2, No. 38
E_form in eV/atom: 0.035
Final energy in eV/atom: -1.406

abc: 6.7976 9.5284 9.5284
angles: 116.03 90.00 90.00
Sites, in units of the cell vectors:
1 Na 0.0000 0.0000 0.0000
2 Na 0.0000 0.2322 0.4375
3 Na 0.0000 0.4375 0.2322
4 Na 0.5000 0.0627 0.2645
5 Na 0.5000 0.2645 0.0627
6 Sr 0.0000 0.2739 0.8380
7 Sr 0.0000 0.6378 0.6378
8 Sr 0.0000 0.8380 0.2739
9 Sr 0.5000 0.2985 0.6857
10 Sr 0.5000 0.6857 0.2985
11 Sr 0.5000 0.8118 0.8118
12 Zn 0.2199 0.6079 0.9519
13 Zn 0.2199 0.9519 0.6079
14 Zn 0.5000 0.4688 0.4688
15 Zn 0.7801 0.6079 0.9519
16 Zn 0.7801 0.9519 0.6079